(1)
Entry from Alexandria: a relaxed structure of Th2ScCu (PBE-GGA).

As for the formation enthalpy at 0 K: 0.1 eV/f.u. The space group is P4/mmm. The value obtained for the energy above the most stable polymorph in this dataset is 0.0 meV per atom.

Cell and atoms, written as CIF:
```
data_Th2ScCu
_chemical_formula_sum 'Th2 Sc1 Cu1'
_cell_length_a 3.490
_cell_length_b 3.490
_cell_length_c 8.591
_cell_angle_alpha 90.00
_cell_angle_beta 90.00
_cell_angle_gamma 90.00
_space_group_name_H-M_alt 'P 1'
_space_group_IT_number 1
_space_group_name_Hall 'P 1'
loop_
_atom_site_label
_atom_site_fract_x
_atom_site_fract_y
_atom_site_fract_z
Th1 0.000 0.000 0.218
Th2 0.000 0.000 0.782
Sc1 0.500 0.500 0.500
Cu1 0.500 0.500 0.000
```


(2)
Entry from Alexandria: a relaxed structure of ScFeTc3 (PBE-GGA).

As for the formation enthalpy at 0 K: 3.8 eV/f.u. The space group is Pm-3m. The value obtained for the energy above the most stable polymorph in this dataset is 0.0 meV per atom.

Cell and atoms, written as CIF:
```
data_ScFeTc3
_chemical_formula_sum 'Sc1 Fe1 Tc3'
_cell_length_a 4.437
_cell_length_b 4.437
_cell_length_c 4.437
_cell_angle_alpha 90.00
_cell_angle_beta 90.00
_cell_angle_gamma 90.00
_space_group_name_H-M_alt 'P 1'
_space_group_IT_number 1
_space_group_name_Hall 'P 1'
loop_
_atom_site_label
_atom_site_fract_x
_atom_site_fract_y
_atom_site_fract_z
Sc1 0.000 0.000 0.000
Fe1 0.500 0.500 0.500
Tc1 0.000 0.500 0.500
Tc2 0.500 0.000 0.500
Tc3 0.500 0.500 0.000
```


(3)
Entry from Alexandria: a relaxed structure of Cd3Ru (PBE-GGA).

As for the formation enthalpy at 0 K: 1.1 eV/f.u. The space group is Fm-3m.

Cell and atoms, written as CIF:
```
data_Cd3Ru
_chemical_formula_sum 'Cd12 Ru4'
_cell_length_a 6.684
_cell_length_b 6.684
_cell_length_c 6.684
_cell_angle_alpha 90.00
_cell_angle_beta 90.00
_cell_angle_gamma 90.00
_space_group_name_H-M_alt 'P 1'
_space_group_IT_number 1
_space_group_name_Hall 'P 1'
loop_
_atom_site_label
_atom_site_fract_x
_atom_site_fract_y
_atom_site_fract_z
Cd1 0.000 0.000 0.000
Cd2 0.000 0.500 0.500
Cd3 0.250 0.250 0.250
Cd4 0.250 0.250 0.750
Cd5 0.250 0.750 0.250
Cd6 0.250 0.750 0.750
Cd7 0.500 0.000 0.500
Cd8 0.500 0.500 0.000
Cd9 0.750 0.250 0.250
Cd10 0.750 0.250 0.750
Cd11 0.750 0.750 0.250
Cd12 0.750 0.750 0.750
Ru1 0.000 0.000 0.500
Ru2 0.000 0.500 0.000
Ru3 0.500 0.000 0.000
Ru4 0.500 0.500 0.500
```


(4)
Entry from Alexandria: a relaxed structure of PIrF (PBE-GGA).

The space group is P3m1. The calculation puts the uncorrected formation energy at -0.648 eV per atom. The value obtained for the energy above the most stable polymorph in this dataset is 353.1 meV per atom.

Cell and atoms, written as CIF:
```
data_PIrF
_chemical_formula_sum 'P1 Ir1 F1'
_cell_length_a 3.450
_cell_length_b 3.450
_cell_length_c 4.923
_cell_angle_alpha 90.00
_cell_angle_beta 90.00
_cell_angle_gamma 120.00
_space_group_name_H-M_alt 'P 1'
_space_group_IT_number 1
_space_group_name_Hall 'P 1'
loop_
_atom_site_label
_atom_site_fract_x
_atom_site_fract_y
_atom_site_fract_z
P1 0.000 0.000 0.000
Ir1 0.667 0.333 0.791
F1 0.333 0.667 0.522
```


(5)
Entry from Alexandria: a relaxed structure of SrSi4Au (PBE-GGA).

The space group is F-43m. The calculation puts the uncorrected formation energy at 0.134 eV per atom.

Cell and atoms, written as CIF:
```
data_SrSi4Au
_chemical_formula_sum 'Sr1 Si4 Au1'
_cell_length_a 5.421
_cell_length_b 5.421
_cell_length_c 5.421
_cell_angle_alpha 60.00
_cell_angle_beta 60.00
_cell_angle_gamma 60.00
_space_group_name_H-M_alt 'P 1'
_space_group_IT_number 1
_space_group_name_Hall 'P 1'
loop_
_atom_site_label
_atom_site_fract_x
_atom_site_fract_y
_atom_site_fract_z
Sr1 0.000 0.000 0.000
Si1 0.377 0.377 0.377
Si2 0.377 0.377 0.868
Si3 0.377 0.868 0.377
Si4 0.868 0.377 0.377
Au1 0.750 0.750 0.750
```


(6)
Entry from Alexandria: a relaxed structure of NaMgI2O (PBE-GGA).

The space group is P4/mmm. The calculation puts the uncorrected formation energy at -0.191 eV per atom. The value obtained for the energy above the most stable polymorph in this dataset is 811.4 meV per atom.

Cell and atoms, written as CIF:
```
data_NaMgI2O
_chemical_formula_sum 'Na1 Mg1 I2 O1'
_cell_length_a 5.823
_cell_length_b 5.823
_cell_length_c 4.274
_cell_angle_alpha 90.00
_cell_angle_beta 90.00
_cell_angle_gamma 90.00
_space_group_name_H-M_alt 'P 1'
_space_group_IT_number 1
_space_group_name_Hall 'P 1'
loop_
_atom_site_label
_atom_site_fract_x
_atom_site_fract_y
_atom_site_fract_z
Na1 0.000 0.000 0.000
Mg1 0.500 0.500 0.500
I1 0.000 0.500 0.000
I2 0.500 0.000 0.000
O1 0.000 0.000 0.500
```


(7)
Entry from Alexandria: a relaxed structure of P2OsRu (PBE-GGA).

As for the formation enthalpy at 0 K: -0.6 eV/f.u. The space group is P1. The value obtained for the energy above the most stable polymorph in this dataset is 193.0 meV per atom.

Cell and atoms, written as CIF:
```
data_P2OsRu
_chemical_formula_sum 'P2 Os1 Ru1'
_cell_length_a 2.999
_cell_length_b 4.387
_cell_length_c 4.395
_cell_angle_alpha 100.76
_cell_angle_beta 91.60
_cell_angle_gamma 109.18
_space_group_name_H-M_alt 'P 1'
_space_group_IT_number 1
_space_group_name_Hall 'P 1'
loop_
_atom_site_label
_atom_site_fract_x
_atom_site_fract_y
_atom_site_fract_z
P1 0.000 0.000 0.000
P2 0.183 0.473 0.638
Os1 0.455 0.011 0.528
Ru1 0.727 0.465 0.104
```


(8)
Entry from Alexandria: a relaxed structure of Sn3WBr (PBE-GGA).

The space group is Pm-3m. The calculation puts the uncorrected formation energy at 1.631 eV per atom. The value obtained for the energy above the most stable polymorph in this dataset is 1457.8 meV per atom.

Cell and atoms, written as CIF:
```
data_Sn3WBr
_chemical_formula_sum 'Sn3 W1 Br1'
_cell_length_a 5.434
_cell_length_b 5.434
_cell_length_c 5.434
_cell_angle_alpha 90.00
_cell_angle_beta 90.00
_cell_angle_gamma 90.00
_space_group_name_H-M_alt 'P 1'
_space_group_IT_number 1
_space_group_name_Hall 'P 1'
loop_
_atom_site_label
_atom_site_fract_x
_atom_site_fract_y
_atom_site_fract_z
Sn1 0.000 0.000 0.500
Sn2 0.000 0.500 0.000
Sn3 0.500 0.000 0.000
W1 0.500 0.500 0.500
Br1 0.000 0.000 0.000
```


(9)
Entry from Alexandria: a relaxed structure of La2IO (PBE-GGA).

The space group is R-3m. The calculation puts the uncorrected formation energy at -1.858 eV per atom. The value obtained for the energy above the most stable polymorph in this dataset is 0.0 meV per atom.

Cell and atoms, written as CIF:
```
data_La2IO
_chemical_formula_sum 'La6 I3 O3'
_cell_length_a 3.865
_cell_length_b 3.865
_cell_length_c 23.185
_cell_angle_alpha 90.00
_cell_angle_beta 90.00
_cell_angle_gamma 120.00
_space_group_name_H-M_alt 'P 1'
_space_group_IT_number 1
_space_group_name_Hall 'P 1'
loop_
_atom_site_label
_atom_site_fract_x
_atom_site_fract_y
_atom_site_fract_z
La1 0.000 0.000 0.224
La2 0.000 0.000 0.776
La3 0.333 0.667 0.442
La4 0.333 0.667 0.891
La5 0.667 0.333 0.109
La6 0.667 0.333 0.558
I1 0.000 0.000 0.000
I2 0.333 0.667 0.667
I3 0.667 0.333 0.333
O1 0.000 0.000 0.500
O2 0.333 0.667 0.167
O3 0.667 0.333 0.833
```


(10)
Entry from Alexandria: a relaxed structure of TaCdAu2 (PBE-GGA).

As for the formation enthalpy at 0 K: 0.4 eV/f.u. The space group is Imm2.

Cell and atoms, written as CIF:
```
data_TaCdAu2
_chemical_formula_sum 'Ta2 Cd2 Au4'
_cell_length_a 2.874
_cell_length_b 5.075
_cell_length_c 10.374
_cell_angle_alpha 90.00
_cell_angle_beta 90.00
_cell_angle_gamma 90.00
_space_group_name_H-M_alt 'P 1'
_space_group_IT_number 1
_space_group_name_Hall 'P 1'
loop_
_atom_site_label
_atom_site_fract_x
_atom_site_fract_y
_atom_site_fract_z
Ta1 0.000 0.000 0.000
Ta2 0.500 0.500 0.500
Cd1 0.000 0.500 0.759
Cd2 0.500 0.000 0.259
Au1 0.000 0.000 0.516
Au2 0.000 0.500 0.266
Au3 0.500 0.000 0.766
Au4 0.500 0.500 0.016
```


(11)
Entry from Alexandria: a relaxed structure of Dy2CdGe2 (PBE-GGA).

As for the formation enthalpy at 0 K: -3.6 eV/f.u. The space group is P4/mbm.

Cell and atoms, written as CIF:
```
data_Dy2CdGe2
_chemical_formula_sum 'Dy4 Cd2 Ge4'
_cell_length_a 7.323
_cell_length_b 7.323
_cell_length_c 4.191
_cell_angle_alpha 90.00
_cell_angle_beta 90.00
_cell_angle_gamma 90.00
_space_group_name_H-M_alt 'P 1'
_space_group_IT_number 1
_space_group_name_Hall 'P 1'
loop_
_atom_site_label
_atom_site_fract_x
_atom_site_fract_y
_atom_site_fract_z
Dy1 0.178 0.322 0.000
Dy2 0.322 0.822 0.000
Dy3 0.678 0.178 0.000
Dy4 0.822 0.678 0.000
Cd1 0.000 0.000 0.500
Cd2 0.500 0.500 0.500
Ge1 0.122 0.622 0.500
Ge2 0.378 0.122 0.500
Ge3 0.622 0.878 0.500
Ge4 0.878 0.378 0.500
```


(12)
Entry from Alexandria: a relaxed structure of Pm3Dy2Y2 (PBE-GGA).

As for the formation enthalpy at 0 K: 0.1 eV/f.u. The space group is C2/m. The value obtained for the energy above the most stable polymorph in this dataset is 0.0 meV per atom.

Cell and atoms, written as CIF:
```
data_Pm3Dy2Y2
_chemical_formula_sum 'Pm6 Dy4 Y4'
_cell_length_a 11.925
_cell_length_b 3.598
_cell_length_c 10.796
_cell_angle_alpha 90.00
_cell_angle_beta 95.89
_cell_angle_gamma 90.00
_space_group_name_H-M_alt 'P 1'
_space_group_IT_number 1
_space_group_name_Hall 'P 1'
loop_
_atom_site_label
_atom_site_fract_x
_atom_site_fract_y
_atom_site_fract_z
Pm1 0.000 0.000 0.000
Pm2 0.142 0.000 0.570
Pm3 0.358 0.500 0.430
Pm4 0.500 0.500 0.000
Pm5 0.642 0.500 0.570
Pm6 0.858 0.000 0.430
Dy1 0.072 0.500 0.284
Dy2 0.428 0.000 0.716
Dy3 0.572 0.000 0.284
Dy4 0.928 0.500 0.716
Y1 0.214 0.500 0.857
Y2 0.286 0.000 0.143
Y3 0.714 0.000 0.857
Y4 0.786 0.500 0.143
```


Calculated final energy (eV per cell), listed in the same order as above: -25.18; -42.12; -43.69; -18.08; -25.85; -11.93; -31.94; -18.48; -71.39; -37.89; -45.98; -72.55